Crystalline LaCrN2 at its relaxed geometry. Source: Alexandria via LeMat-Bulk, functional PBE.

**Formation energy (no corrections)**: -0.507 eV/atom
**Space group**: R-3m
**Size of the total moment**: 0.552 μB/atom

Lattice parameters (Å, degrees): 6.279 6.279 6.279 35.94 35.94 35.94
Each line ends with the local moment (μB).
Positions (direct):
Cr1 0.000 0.000 0.000  -2.24
N1 0.900 0.900 0.900  0.12
N2 0.100 0.100 0.100  0.12
La1 0.500 0.500 0.500  0.02